Record 1
KZrTe2 (PBE, relaxed); ΔE_f (raw) = -0.391 eV/atom; size of the total moment = 0.0 Bohr magnetons per cell
1.0
5.742 0.003 0.039
-0.065 5.741 0.039
0.515 0.521 3.438
Te Zr K
2 1 1
Direct
0.500 0.500 0.000 Te
0.000 0.000 0.000 Te
0.500 0.000 0.500 Zr
0.000 0.500 0.500 K

Record 2
K3ZrTe3 (PBE, relaxed); ΔE_f (raw) = -0.980 eV/atom; size of the total moment = 0.0 Bohr magnetons per cell
1.0
8.731 0.184 -0.209
-3.725 7.899 -0.209
-0.966 -1.559 8.579
Zr Te K
2 6 6
Direct
0.848 0.848 0.862 Zr
0.152 0.152 0.138 Zr
0.860 0.548 0.721 Te
0.871 0.871 0.189 Te
0.129 0.129 0.811 Te
0.140 0.452 0.279 Te
0.452 0.140 0.279 Te
0.548 0.860 0.721 Te
0.832 0.168 0.500 K
0.601 0.601 0.369 K
0.266 0.734 0.000 K
0.734 0.266 0.000 K
0.399 0.399 0.631 K
0.168 0.832 0.500 K

Record 3
KZrTe2 (PBE, relaxed); ΔE_f (raw) = -0.723 eV/atom; size of the total moment = 1.0 Bohr magnetons per cell
1.0
-2.475 -2.534 -3.075
3.637 -1.800 -1.444
1.092 -6.690 4.635
Zr K Te
1 1 2
Direct
0.000 0.438 0.248 Zr
0.500 0.664 0.797 K
0.000 0.056 0.014 Te
0.500 0.342 0.442 Te

Record 4
KZrTe2 (PBE, relaxed); ΔE_f (raw) = -0.587 eV/atom; size of the total moment = 1.0 Bohr magnetons per cell
1.0
6.507 0.012 -0.001
0.815 6.456 0.001
-2.107 -4.992 3.602
Te Zr K
2 1 1
Direct
0.546 0.546 0.000 Te
0.954 0.954 0.000 Te
0.750 0.250 0.500 Zr
0.250 0.750 0.500 K

Record 5
KZrTe2 (PBE, relaxed); ΔE_f (raw) = -0.053 eV/atom; size of the total moment = 1.3 Bohr magnetons per cell
1.0
-9.308 5.908 -3.191
-10.692 4.165 -0.202
-8.808 7.355 0.207
Te K Zr
2 1 1
Direct
0.239 0.239 0.239 Te
0.998 0.998 0.998 Te
0.745 0.745 0.745 K
0.518 0.518 0.518 Zr

Record 6
KZr4Te (PBE, relaxed); ΔE_f (raw) = 0.591 eV/atom; size of the total moment = 0.0 Bohr magnetons per cell
1.0
5.745 -1.866 0.853
1.705 -2.249 5.408
1.220 -5.949 0.582
Zr K Te
4 1 1
Direct
0.378 0.378 0.378 Zr
0.378 0.378 0.866 Zr
0.866 0.378 0.378 Zr
0.378 0.866 0.378 Zr
0.750 0.750 0.750 K
0.000 0.000 0.000 Te

Record 7
K2ZrTe (PBE, relaxed); ΔE_f (raw) = 0.258 eV/atom; size of the total moment = 0.0 Bohr magnetons per cell
1.0
3.327 0.000 0.000
0.000 3.327 0.000
0.000 0.000 12.096
Te K Zr
1 2 1
Direct
0.500 0.500 0.250 Te
0.000 0.000 0.471 K
0.000 0.000 0.029 K
0.500 0.500 0.750 Zr

Record 8
KZrTe2 (PBE, relaxed); ΔE_f (raw) = -0.960 eV/atom; size of the total moment = 0.0 Bohr magnetons per cell
1.0
4.147 0.000 0.000
2.073 3.591 0.000
2.073 1.197 8.561
Te K Zr
2 1 1
Direct
0.068 0.068 0.795 Te
0.266 0.266 0.203 Te
0.499 0.499 0.503 K
0.667 0.667 0.999 Zr

Record 9
KZr2Te4 (PBE, relaxed); ΔE to the lowest computed polymorph = 876.6 meV/atom; ΔE_f (raw) = -0.058 eV/atom; size of the total moment = 0.0 Bohr magnetons per cell
1.0
5.989 0.000 0.000
0.000 5.989 0.000
2.994 2.994 7.589
Te Zr K
4 2 1
Direct
0.241 0.241 0.517 Te
0.000 0.500 0.000 Te
0.500 0.000 0.000 Te
0.759 0.759 0.483 Te
0.413 0.413 0.174 Zr
0.587 0.587 0.826 Zr
0.000 0.000 0.000 K

Record 10
K2ZrTe (PBE, relaxed); ΔE_f (raw) = 0.204 eV/atom; size of the total moment = 1.4 Bohr magnetons per cell
1.0
6.955 -0.011 0.000
4.038 5.663 0.000
-5.497 -2.826 3.190
Zr K Te
1 2 1
Direct
0.750 0.250 0.500 Zr
0.500 0.500 0.000 K
0.000 0.000 0.000 K
0.250 0.750 0.500 Te

Record 11
KZr2Te2 (PBE, relaxed); ΔE_f (raw) = -0.714 eV/atom; size of the total moment = 0.0 Bohr magnetons per cell
1.0
-2.385 -0.621 -3.633
3.686 -0.382 -2.354
0.681 -8.269 -1.685
Zr K Te
2 1 2
Direct
0.250 0.750 0.500 Zr
0.750 0.250 0.500 Zr
0.000 0.000 0.000 K
0.624 0.624 0.751 Te
0.376 0.376 0.249 Te

Record 12
KZrTe2 (PBE, relaxed); ΔE_f (raw) = -0.691 eV/atom; size of the total moment = 2.0 Bohr magnetons per cell
1.0
-5.197 -5.823 -2.606
6.139 -5.478 -0.002
-0.557 -6.805 3.328
Te Zr K
4 2 2
Direct
0.875 0.943 0.750 Te
0.057 0.625 0.250 Te
0.375 0.307 0.750 Te
0.693 0.125 0.250 Te
0.000 0.000 0.000 Zr
0.750 0.250 0.500 Zr
0.250 0.750 0.500 K
0.500 0.500 0.000 K

Record 13
KZr2Te4 (PBE, relaxed); ΔE to the lowest computed polymorph = 71.0 meV/atom; ΔE_f (raw) = -0.863 eV/atom; size of the total moment = 0.0 Bohr magnetons per cell
1.0
-3.965 0.774 1.271
-0.389 -5.424 -4.963
1.521 -10.044 10.860
Zr Te K
4 8 2
Direct
0.130 0.259 0.065 Zr
0.870 0.741 0.935 Zr
0.130 0.259 0.435 Zr
0.870 0.741 0.565 Zr
0.919 0.839 0.750 Te
0.768 0.537 0.109 Te
0.232 0.463 0.609 Te
0.500 0.000 0.000 Te
0.232 0.463 0.891 Te
0.768 0.537 0.391 Te
0.500 0.000 0.500 Te
0.081 0.161 0.250 Te
0.391 0.782 0.250 K
0.609 0.218 0.750 K

Record 14
KZrTe2 (PBE, relaxed); ΔE_f (raw) = -0.237 eV/atom; size of the total moment = 0.6 Bohr magnetons per cell
1.0
-4.982 0.609 4.188
-3.220 -5.154 2.407
6.111 2.143 -0.887
K Te Zr
1 2 1
Direct
0.750 0.250 0.500 K
0.000 0.000 0.000 Te
0.250 0.750 0.500 Te
0.500 0.500 0.000 Zr

Record 15
KZr4Te8 (PBE, relaxed); ΔE_f (raw) = -0.951 eV/atom; size of the total moment = 0.0 Bohr magnetons per cell
1.0
-5.684 -2.339 5.092
-5.898 -4.755 -2.512
1.072 -9.629 3.030
Te Zr K
8 4 1
Direct
0.265 0.768 0.199 Te
0.232 0.232 0.801 Te
0.267 0.267 0.199 Te
0.733 0.733 0.801 Te
0.768 0.768 0.199 Te
0.232 0.735 0.801 Te
0.735 0.232 0.801 Te
0.768 0.265 0.199 Te
0.500 0.000 0.000 Zr
0.500 0.500 0.000 Zr
0.000 0.000 0.000 Zr
0.000 0.500 0.000 Zr
0.500 0.500 0.500 K

Record 16
KZrTe2 (PBE, relaxed); ΔE_f (raw) = -0.174 eV/atom; size of the total moment = 0.5 Bohr magnetons per cell
1.0
-0.436 -2.928 1.962
2.853 0.867 1.930
-6.404 5.609 6.949
Zr Te K
1 2 1
Direct
0.000 0.000 0.438 Zr
0.500 0.500 0.307 Te
0.000 0.000 0.993 Te
0.500 0.500 0.763 K

Record 17
K2ZrTe6 (PBE, relaxed); ΔE_f (raw) = -0.578 eV/atom; size of the total moment = 0.0 Bohr magnetons per cell
1.0
-3.499 0.682 -3.809
1.692 -8.448 -2.242
-4.638 -6.510 3.920
K Te Zr
2 6 1
Direct
0.641 0.676 0.676 K
0.359 0.324 0.324 K
0.135 0.357 0.919 Te
0.865 0.081 0.643 Te
0.865 0.643 0.081 Te
0.500 0.810 0.190 Te
0.500 0.190 0.810 Te
0.135 0.919 0.357 Te
0.000 0.000 0.000 Zr

Record 18
KZrTe2 (PBE, relaxed); ΔE_f (raw) = -0.842 eV/atom; size of the total moment = 0.3 Bohr magnetons per cell
1.0
8.816 -0.043 -0.948
8.009 3.684 -0.948
-0.492 -0.106 4.000
Zr K Te
1 1 2
Direct
0.450 0.450 0.700 Zr
0.202 0.202 0.952 K
0.025 0.025 0.275 Te
0.823 0.823 0.573 Te

Record 19
K2ZrTe (PBE, relaxed); ΔE_f (raw) = 0.190 eV/atom; size of the total moment = 2.7 Bohr magnetons per cell
1.0
6.422 0.004 -0.006
-3.602 5.316 -0.006
0.011 0.020 4.098
K Zr Te
2 1 1
Direct
0.500 0.500 0.000 K
0.000 0.000 0.000 K
0.000 0.500 0.500 Zr
0.500 0.000 0.500 Te

Record 20
K2ZrTe3 (PBE, relaxed); ΔE_f (raw) = -1.021 eV/atom; size of the total moment = 0.0 Bohr magnetons per cell
1.0
-4.808 13.326 0.512
-4.683 -1.876 4.836
4.219 1.199 8.397
K Te Zr
8 12 4
Direct
0.461 0.827 0.356 K
0.640 0.563 0.904 K
0.140 0.937 0.096 K
0.360 0.437 0.096 K
0.539 0.173 0.644 K
0.860 0.063 0.904 K
0.961 0.673 0.644 K
0.039 0.327 0.356 K
0.807 0.325 0.540 Te
0.354 0.003 0.908 Te
0.583 0.427 0.270 Te
0.693 0.825 0.540 Te
0.083 0.073 0.730 Te
0.646 0.997 0.092 Te
0.146 0.503 0.908 Te
0.193 0.675 0.460 Te
0.417 0.573 0.730 Te
0.854 0.497 0.092 Te
0.307 0.175 0.460 Te
0.917 0.927 0.270 Te
0.251 0.316 0.703 Zr
0.749 0.684 0.297 Zr
0.751 0.184 0.297 Zr
0.249 0.816 0.703 Zr